# SrCd2CO, relaxed, DFT PBE
data_SrCd2CO
_chemical_formula_sum 'Sr1 Cd2 C1 O1'
_space_group_name_H-M_alt 'P 1'
_space_group_IT_number 1
_cell_length_a 4.069
_cell_length_b 4.069
_cell_length_c 8.910
_cell_angle_alpha 90.00
_cell_angle_beta 90.00
_cell_angle_gamma 90.00
loop_
_space_group_symop_operation_xyz
'x,y,z'
loop_
_atom_site_label
_atom_site_type_symbol
_atom_site_fract_x
_atom_site_fract_y
_atom_site_fract_z
_atom_site_occupancy
Sr1 Sr 0.000 0.000 0.000 1
Cd1 Cd 0.000 0.500 0.500 1
Cd2 Cd 0.500 0.000 0.500 1
C1 C 0.500 0.500 0.500 1
O1 O 0.500 0.500 0.000 1
# **Symmetry**: P4/mmm
# **Raw total energy**: -0.124 Ha/atom
# **Energy relative to the elements, uncorrected**: 0.17 eV per atom

***

# Tl3CdC2O6, relaxed, DFT PBE
data_Tl3CdC2O6
_chemical_formula_sum 'Tl3 Cd1 C2 O6'
_space_group_name_H-M_alt 'P 1'
_space_group_IT_number 1
_cell_length_a 5.355
_cell_length_b 5.355
_cell_length_c 8.366
_cell_angle_alpha 90.00
_cell_angle_beta 90.00
_cell_angle_gamma 120.00
loop_
_space_group_symop_operation_xyz
'x,y,z'
loop_
_atom_site_label
_atom_site_type_symbol
_atom_site_fract_x
_atom_site_fract_y
_atom_site_fract_z
_atom_site_occupancy
Tl1 Tl 0.000 0.000 0.000 1
Tl2 Tl 0.333 0.667 0.817 1
Tl3 Tl 0.667 0.333 0.183 1
Cd1 Cd 0.000 0.000 0.500 1
C1 C 0.333 0.667 0.330 1
C2 C 0.667 0.333 0.670 1
O1 O 0.193 0.386 0.324 1
O2 O 0.193 0.807 0.324 1
O3 O 0.386 0.193 0.676 1
O4 O 0.614 0.807 0.324 1
O5 O 0.807 0.193 0.676 1
O6 O 0.807 0.614 0.676 1
# **Symmetry**: P-3m1
# **Raw total energy**: -0.209 Ha/atom
# **Energy relative to the elements, uncorrected**: -1.01 eV per atom

***

# TlCdC2O6, relaxed, DFT PBE
data_TlCdC2O6
_chemical_formula_sum 'Tl2 Cd2 C4 O12'
_space_group_name_H-M_alt 'P 1'
_space_group_IT_number 1
_cell_length_a 6.602
_cell_length_b 6.602
_cell_length_c 6.559
_cell_angle_alpha 100.99
_cell_angle_beta 100.99
_cell_angle_gamma 100.00
loop_
_space_group_symop_operation_xyz
'x,y,z'
loop_
_atom_site_label
_atom_site_type_symbol
_atom_site_fract_x
_atom_site_fract_y
_atom_site_fract_z
_atom_site_occupancy
Tl1 Tl 0.124 0.876 0.750 1
Tl2 Tl 0.876 0.124 0.250 1
Cd1 Cd 0.400 0.600 0.250 1
Cd2 Cd 0.600 0.400 0.750 1
C1 C 0.103 0.386 0.758 1
C2 C 0.386 0.103 0.258 1
C3 C 0.614 0.897 0.742 1
C4 C 0.897 0.614 0.242 1
O1 O 0.040 0.501 0.237 1
O2 O 0.058 0.200 0.631 1
O3 O 0.200 0.058 0.131 1
O4 O 0.293 0.461 0.876 1
O5 O 0.461 0.293 0.376 1
O6 O 0.499 0.960 0.263 1
O7 O 0.501 0.040 0.737 1
O8 O 0.539 0.707 0.624 1
O9 O 0.707 0.539 0.124 1
O10 O 0.800 0.942 0.869 1
O11 O 0.942 0.800 0.369 1
O12 O 0.960 0.499 0.763 1
# **Symmetry**: C2/c
# **Raw total energy**: -0.232 Ha/atom
# **Energy relative to the elements, uncorrected**: -1.18 eV per atom

***

# TlCdCO3, relaxed, DFT PBE
data_TlCdCO3
_chemical_formula_sum 'Tl2 Cd2 C2 O6'
_space_group_name_H-M_alt 'P 1'
_space_group_IT_number 1
_cell_length_a 6.022
_cell_length_b 6.022
_cell_length_c 6.351
_cell_angle_alpha 90.00
_cell_angle_beta 90.00
_cell_angle_gamma 120.00
loop_
_space_group_symop_operation_xyz
'x,y,z'
loop_
_atom_site_label
_atom_site_type_symbol
_atom_site_fract_x
_atom_site_fract_y
_atom_site_fract_z
_atom_site_occupancy
Tl1 Tl 0.333 0.667 0.250 1
Tl2 Tl 0.667 0.333 0.750 1
Cd1 Cd 0.000 0.000 0.000 1
Cd2 Cd 0.000 0.000 0.500 1
C1 C 0.333 0.667 0.750 1
C2 C 0.667 0.333 0.250 1
O1 O 0.208 0.416 0.750 1
O2 O 0.208 0.792 0.750 1
O3 O 0.416 0.208 0.250 1
O4 O 0.584 0.792 0.750 1
O5 O 0.792 0.208 0.250 1
O6 O 0.792 0.584 0.250 1
# **Symmetry**: P6_3/mmc
# **Raw total energy**: -0.201 Ha/atom
# **Energy relative to the elements, uncorrected**: -0.90 eV per atom

***

# Zn3CdC4O12, relaxed, DFT PBE
data_Zn3CdC4O12
_chemical_formula_sum 'Zn3 Cd1 C4 O12'
_space_group_name_H-M_alt 'P 1'
_space_group_IT_number 1
_cell_length_a 6.159
_cell_length_b 6.159
_cell_length_c 6.159
_cell_angle_alpha 103.08
_cell_angle_beta 103.08
_cell_angle_gamma 103.08
loop_
_space_group_symop_operation_xyz
'x,y,z'
loop_
_atom_site_label
_atom_site_type_symbol
_atom_site_fract_x
_atom_site_fract_y
_atom_site_fract_z
_atom_site_occupancy
Zn1 Zn 0.000 0.535 0.465 1
Zn2 Zn 0.465 0.000 0.535 1
Zn3 Zn 0.535 0.465 0.000 1
Cd1 Cd 0.000 0.000 0.000 1
C1 C 0.037 0.500 0.963 1
C2 C 0.500 0.500 0.500 1
C3 C 0.500 0.963 0.037 1
C4 C 0.963 0.037 0.500 1
O1 O 0.025 0.625 0.818 1
O2 O 0.097 0.903 0.500 1
O3 O 0.182 0.375 0.975 1
O4 O 0.366 0.634 0.500 1
O5 O 0.375 0.975 0.182 1
O6 O 0.500 0.097 0.903 1
O7 O 0.500 0.366 0.634 1
O8 O 0.625 0.818 0.025 1
O9 O 0.634 0.500 0.366 1
O10 O 0.818 0.025 0.625 1
O11 O 0.903 0.500 0.097 1
O12 O 0.975 0.182 0.375 1
# **Symmetry**: R32
# **Raw total energy**: -0.236 Ha/atom
# **Energy relative to the elements, uncorrected**: -1.37 eV per atom

***

# Zn2CdCO, relaxed, DFT PBE
data_Zn2CdCO
_chemical_formula_sum 'Zn2 Cd1 C1 O1'
_space_group_name_H-M_alt 'P 1'
_space_group_IT_number 1
_cell_length_a 5.359
_cell_length_b 5.359
_cell_length_c 4.006
_cell_angle_alpha 90.00
_cell_angle_beta 90.00
_cell_angle_gamma 90.00
loop_
_space_group_symop_operation_xyz
'x,y,z'
loop_
_atom_site_label
_atom_site_type_symbol
_atom_site_fract_x
_atom_site_fract_y
_atom_site_fract_z
_atom_site_occupancy
Zn1 Zn 0.000 0.500 0.000 1
Zn2 Zn 0.500 0.000 0.000 1
Cd1 Cd 0.000 0.000 0.000 1
C1 C 0.500 0.500 0.500 1
O1 O 0.000 0.000 0.500 1
# **Symmetry**: P4/mmm
# **Raw total energy**: -0.072 Ha/atom
# **Energy relative to the elements, uncorrected**: 1.57 eV per atom

***

# ZnCdC2O6, relaxed, DFT PBE
data_ZnCdC2O6
_chemical_formula_sum 'Zn1 Cd1 C2 O6'
_space_group_name_H-M_alt 'P 1'
_space_group_IT_number 1
_cell_length_a 6.011
_cell_length_b 6.011
_cell_length_c 6.011
_cell_angle_alpha 47.68
_cell_angle_beta 47.68
_cell_angle_gamma 47.68
loop_
_space_group_symop_operation_xyz
'x,y,z'
loop_
_atom_site_label
_atom_site_type_symbol
_atom_site_fract_x
_atom_site_fract_y
_atom_site_fract_z
_atom_site_occupancy
Zn1 Zn 0.000 0.000 0.000 1
Cd1 Cd 0.500 0.500 0.500 1
C1 C 0.255 0.255 0.255 1
C2 C 0.745 0.745 0.745 1
O1 O 0.001 0.768 0.467 1
O2 O 0.232 0.533 0.999 1
O3 O 0.467 0.001 0.768 1
O4 O 0.533 0.999 0.232 1
O5 O 0.768 0.467 0.001 1
O6 O 0.999 0.232 0.533 1
# **Symmetry**: R-3
# **Raw total energy**: -0.236 Ha/atom
# **Energy relative to the elements, uncorrected**: -1.37 eV per atom

***

# CdOs3C, relaxed, DFT PBE
data_CdOs3C
_chemical_formula_sum 'Cd1 Os3 C1'
_space_group_name_H-M_alt 'P 1'
_space_group_IT_number 1
_cell_length_a 4.916
_cell_length_b 4.916
_cell_length_c 4.916
_cell_angle_alpha 90.00
_cell_angle_beta 90.00
_cell_angle_gamma 90.00
loop_
_space_group_symop_operation_xyz
'x,y,z'
loop_
_atom_site_label
_atom_site_type_symbol
_atom_site_fract_x
_atom_site_fract_y
_atom_site_fract_z
_atom_site_occupancy
Cd1 Cd 0.000 0.000 0.000 1
Os1 Os 0.000 0.000 0.500 1
Os2 Os 0.000 0.500 0.000 1
Os3 Os 0.500 0.000 0.000 1
C1 C 0.500 0.500 0.500 1
# **Formation enthalpy at 0 K**: 4.4895 eV per atom
# **Symmetry**: Pm-3m
# **Raw total energy**: -0.157 Ha/atom
# **E above lowest polymorph**: 3819 meV per atom

***

# CdOs2C, relaxed, DFT PBE
data_CdOs2C
_chemical_formula_sum 'Cd1 Os2 C1'
_space_group_name_H-M_alt 'P 1'
_space_group_IT_number 1
_cell_length_a 4.281
_cell_length_b 4.281
_cell_length_c 4.281
_cell_angle_alpha 60.00
_cell_angle_beta 60.00
_cell_angle_gamma 60.00
loop_
_space_group_symop_operation_xyz
'x,y,z'
loop_
_atom_site_label
_atom_site_type_symbol
_atom_site_fract_x
_atom_site_fract_y
_atom_site_fract_z
_atom_site_occupancy
Cd1 Cd 0.000 0.000 0.000 1
Os1 Os 0.250 0.250 0.250 1
Os2 Os 0.750 0.750 0.750 1
C1 C 0.500 0.500 0.500 1
# **Formation enthalpy at 0 K**: 2.0304 eV per atom
# **Symmetry**: Fm-3m
# **Raw total energy**: -0.225 Ha/atom
# **E above lowest polymorph**: 812 meV per atom

***

# CdOs2C, relaxed, DFT PBE
data_CdOs2C
_chemical_formula_sum 'Cd2 Os4 C2'
_space_group_name_H-M_alt 'P 1'
_space_group_IT_number 1
_cell_length_a 6.698
_cell_length_b 6.698
_cell_length_c 6.698
_cell_angle_alpha 135.59
_cell_angle_beta 135.59
_cell_angle_gamma 64.62
loop_
_space_group_symop_operation_xyz
'x,y,z'
loop_
_atom_site_label
_atom_site_type_symbol
_atom_site_fract_x
_atom_site_fract_y
_atom_site_fract_z
_atom_site_occupancy
Cd1 Cd 0.000 0.000 0.000 1
Cd2 Cd 0.750 0.250 0.500 1
Os1 Os 0.286 0.625 0.161 1
Os2 Os 0.375 0.536 0.661 1
Os3 Os 0.464 0.125 0.839 1
Os4 Os 0.875 0.714 0.339 1
C1 C 0.250 0.750 0.500 1
C2 C 0.500 0.500 0.000 1
# **Formation enthalpy at 0 K**: 1.2189 eV per atom
# **Symmetry**: I-42d
# **Raw total energy**: -0.255 Ha/atom
# **E above lowest polymorph**: 0 meV per atom

***

# CdOs3C, relaxed, DFT PBE
data_CdOs3C
_chemical_formula_sum 'Cd1 Os3 C1'
_space_group_name_H-M_alt 'P 1'
_space_group_IT_number 1
_cell_length_a 4.127
_cell_length_b 4.127
_cell_length_c 4.127
_cell_angle_alpha 90.00
_cell_angle_beta 90.00
_cell_angle_gamma 90.00
loop_
_space_group_symop_operation_xyz
'x,y,z'
loop_
_atom_site_label
_atom_site_type_symbol
_atom_site_fract_x
_atom_site_fract_y
_atom_site_fract_z
_atom_site_occupancy
Cd1 Cd 0.000 0.000 0.000 1
Os1 Os 0.000 0.500 0.500 1
Os2 Os 0.500 0.000 0.500 1
Os3 Os 0.500 0.500 0.000 1
C1 C 0.500 0.500 0.500 1
# **Formation enthalpy at 0 K**: 0.6706 eV per atom
# **Symmetry**: Pm-3m
# **Raw total energy**: -0.297 Ha/atom
# **E above lowest polymorph**: 0 meV per atom

***

# Cd2OsC, relaxed, DFT PBE
data_Cd2OsC
_chemical_formula_sum 'Cd4 Os2 C2'
_space_group_name_H-M_alt 'P 1'
_space_group_IT_number 1
_cell_length_a 6.497
_cell_length_b 6.497
_cell_length_c 6.497
_cell_angle_alpha 95.22
_cell_angle_beta 95.22
_cell_angle_gamma 144.89
loop_
_space_group_symop_operation_xyz
'x,y,z'
loop_
_atom_site_label
_atom_site_type_symbol
_atom_site_fract_x
_atom_site_fract_y
_atom_site_fract_z
_atom_site_occupancy
Cd1 Cd 0.375 0.238 0.363 1
Cd2 Cd 0.762 0.125 0.137 1
Cd3 Cd 0.875 0.012 0.637 1
Cd4 Cd 0.988 0.625 0.863 1
Os1 Os 0.250 0.750 0.500 1
Os2 Os 0.500 0.500 0.000 1
C1 C 0.000 0.000 0.000 1
C2 C 0.750 0.250 0.500 1
# **Formation enthalpy at 0 K**: 0.9319 eV per atom
# **Symmetry**: I-42d
# **Raw total energy**: -0.170 Ha/atom